Record 1
{
  "formula": "Cr2FeRu",
  "functional": "meta-GGA SCAN",
  "state": "single point on PBEsol structure",
  "de_polymorph_mev_per_atom": 6,
  "ef_ev_per_atom": 0.16,
  "n_ef_per_ev_fu": 2.842,
  "vol_a3_per_atom": 11.74,
  "magmom_total_mub_per_fu": 3.88,
  "lattice_angstrom": [[4.049, 0.000, 0.000], [2.025, 3.507, 0.000], [2.025, 1.169, 3.306]],
  "species": ["Cr", "Cr", "Fe", "Ru"],
  "fractional_positions": [[0.750, 0.750, 0.750], [0.250, 0.250, 0.250], [0.000, 0.000, 0.000], [0.500, 0.500, 0.500]]
}



Record 2
{
  "formula": "CrFeSb2",
  "functional": "meta-GGA SCAN",
  "state": "single point on PBEsol structure",
  "de_polymorph_mev_per_atom": 0,
  "raw_formation_energy_kj_per_mol_fu": 143,
  "n_ef_per_ev_fu": 2.572,
  "vol_a3_per_atom": 17.62,
  "magmom_total_mub_per_fu": 5.96,
  "lattice_angstrom": [[3.895, 0.000, 0.000], [0.000, 3.895, 0.000], [-1.948, -1.948, 4.645]],
  "species": ["Cr", "Fe", "Sb", "Sb"],
  "fractional_positions": [[0.500, 0.500, 0.000], [0.250, 0.750, 0.500], [0.000, 0.000, 0.000], [0.750, 0.250, 0.500]]
}



Record 3
{
  "formula": "CrFeSb2",
  "functional": "meta-GGA SCAN",
  "state": "single point on PBEsol structure",
  "de_polymorph_mev_per_atom": 139,
  "raw_formation_energy_kj_per_mol_fu": 196,
  "n_ef_per_ev_fu": 2.754,
  "vol_a3_per_atom": 15.63,
  "magmom_total_mub_per_fu": 2.81,
  "lattice_angstrom": [[3.168, 0.000, 0.000], [0.000, 3.168, 0.000], [0.000, 0.000, 6.229]],
  "species": ["Cr", "Fe", "Sb", "Sb"],
  "fractional_positions": [[0.500, 0.500, 0.000], [0.500, 0.500, 0.500], [0.000, 0.000, 0.749], [0.000, 0.000, 0.251]]
}



Record 4
{
  "formula": "ScCr2FeSb",
  "functional": "meta-GGA SCAN",
  "state": "single point on PBEsol structure",
  "raw_formation_energy_kj_per_mol_fu": 214,
  "n_ef_per_ev_fu": 4.649,
  "vol_a3_per_atom": 18.05,
  "magmom_total_mub_per_fu": 5.73,
  "lattice_angstrom": [[4.356, 0.000, 0.000], [0.000, 4.356, 0.000], [0.000, 0.000, 4.757]],
  "species": ["Sc", "Sb", "Fe", "Cr", "Cr"],
  "fractional_positions": [[0.500, 0.500, 0.500], [0.000, 0.000, 0.500], [0.000, 0.000, 0.000], [0.000, 0.500, 0.000], [0.500, 0.000, 0.000]]
}